DFT (GGA-PBEsol) results for crystalline La2AlNi2 at its relaxed geometry.

Cell lengths 3.9038, 7.2253, 7.2253 Å; angles 90.00, 90.00, 90.00 degrees
Atoms (fractional coordinates):
Ni  0.0000  0.8746  0.6254
Ni  0.0000  0.6254  0.1254
Al  0.0000  0.0000  0.0000
La  0.5000  0.1786  0.6786
La  0.5000  0.8214  0.3214
La  0.5000  0.3214  0.1786
La  0.5000  0.6786  0.8214
Al  0.0000  0.5000  0.5000
Ni  0.0000  0.3746  0.8746
Ni  0.0000  0.1254  0.3746

Values from the calculation:
- Energy of formation: -1.91 eV per formula unit
- Raw total energy: -5.8012 eV/atom
- Size of the total moment: 0.00 μB per formula unit